Version A
# NiIrPdRh

A relaxed NiIrPdRh crystal (PBE-GGA, the Alexandria database).

ρ   13.59 g/cm³

Unit cell a=6.0816 b=6.0816 c=6.0816 alpha=90.00 beta=90.00 gamma=90.00
With the nearest neighbours (Å) after each atom.
Space group F-43m (No. 216)
One atom of each set of equivalent atoms:
Ni (0.0000, 0.0000, 0.0000)  4 Pd 2.63, 4 Ir 2.63
Ir (0.2500, 0.2500, 0.7500)  4 Ni 2.63, 4 Rh 2.63
Pd (0.2500, 0.2500, 0.2500)  4 Ni 2.63, 4 Rh 2.63
Rh (0.0000, 0.0000, 0.5000)  4 Ir 2.63, 4 Pd 2.63

Version B
# NiIrPdRh

A relaxed NiIrPdRh crystal (PBE-GGA, the Alexandria database).

ρ   13.82 g/cm³

Unit cell a=2.7248 b=2.7248 c=7.4502 alpha=90.00 beta=90.00 gamma=90.00
With the nearest neighbours (Å) after each atom.
Space group P4mm (No. 99)
One atom of each set of equivalent atoms:
Ni (0.0000, 0.0000, 0.0000)  4 Ir 2.58, 4 Pd 2.66, 4 Ni 2.72
Ir (0.5000, 0.5000, 0.2304)  4 Ni 2.58, 4 Rh 2.68, 4 Ir 2.72
Pd (0.5000, 0.5000, 0.7531)  4 Ni 2.66, 4 Pd 2.72, 4 Rh 2.80
Rh (0.0000, 0.0000, 0.4801)  4 Ir 2.68, 4 Rh 2.72, 4 Pd 2.80

Most stable structure, least stable structure: version B, version A.

Version A
# PmNi3Ir2

A relaxed PmNi3Ir2 crystal (PBE-GGA, the Alexandria database).

ρ   11.93 g/cm³

Unit cell a=9.3140 b=8.2511 c=5.1129 alpha=90.00 beta=90.00 gamma=90.00
With the nearest neighbours (Å) after each atom.
Space group Cmcm (No. 63)
One atom of each set of equivalent atoms:
Pm (0.0000, 0.1977, 0.2500)  9 Ni 2.96-3.25, 4 Ir 3.29
Ni (0.0000, 0.4410, 0.7500)  2 Ni 2.43, 4 Ir 2.51
Ni (0.1875, 0.2369, 0.7500)  1 Ni 2.43, 4 Ir 2.47-2.54
Ir (0.2261, 0.5000, 0.0000)  6 Ni 2.47-2.54, 2 Ir 2.56

Version B
# PmNi3Ir2

A relaxed PmNi3Ir2 crystal (PBE-GGA, the Alexandria database).

ρ   13.11 g/cm³

Unit cell a=5.5385 b=5.5385 c=20.1837 alpha=90.00 beta=90.00 gamma=120.00
With the nearest neighbours (Å) after each atom.
Space group R-3m (No. 166, hexagonal axes)
One atom of each set of equivalent atoms:
Pm (0.0000, 0.0000, 0.2134)  9 Ni 2.79-2.80, 3 Ir 2.90
Ni (0.0307, 0.5154, 0.2286)  2 Ni 2.51, 3 Ir 2.61-2.74, 3 Pm 2.79-2.80
Ir (0.0000, 0.0000, 0.0000)  6 Ni 2.74, 6 Ir 2.77
Ir (0.0000, 0.5000, 0.0000)  4 Ni 2.61, 6 Ir 2.77, 2 Pm 2.90

Most stable structure, least stable structure: version A, version B.

Version A
# Pm8NiIr2

A relaxed Pm8NiIr2 crystal (PBE-GGA, the Alexandria database).

ρ   8.87 g/cm³

Unit cell a=17.7476 b=4.9768 c=6.9728 alpha=90.00 beta=102.93 gamma=90.00
With the nearest neighbours (Å) after each atom.
Space group C2/m (No. 12)
One atom of each set of equivalent atoms:
Pm (0.0331, 0.0000, 0.2864)  1 Ir 2.99, 2 Ni 3.02
Pm (0.0913, 0.5000, 0.9527)  1 Ni 3.21, 2 Ir 3.41, 6 Pm 3.44-3.54
Pm (0.1664, 0.5000, 0.4677)  3 Ir 2.88-3.11, 1 Ni 3.01
Pm (0.2045, 0.0000, 0.8228)  3 Ir 2.85-3.13
Ni (0.0000, 0.5000, 0.5000)  8 Pm 3.01-3.21
Ir (0.1946, 0.0000, 0.2254)  7 Pm 2.85-3.13

Version B
# Pm8NiIr2

A relaxed Pm8NiIr2 crystal (PBE-GGA, the Alexandria database).

ρ   8.35 g/cm³

Unit cell a=8.5740 b=12.4292 c=6.3645 alpha=90.00 beta=109.93 gamma=90.00
With the nearest neighbours (Å) after each atom.
Space group Cm (No. 8)
One atom of each set of equivalent atoms:
Pm (0.0000, 0.0000, 0.0000)  2 Ir 2.98, 1 Ni 3.05
Pm (0.0707, 0.3659, 0.8291)  2 Ir 2.85-2.90, 1 Ni 2.94
Pm (0.1433, 0.1337, 0.5850)  2 Ir 2.83-2.88, 1 Ni 3.09
Pm (0.2147, 0.5000, 0.3970)  2 Ir 2.97, 1 Ni 3.28
Pm (0.3622, 0.1987, 0.1998)  1 Ni 2.79
Ni (0.3537, 0.0000, 0.9933)  7 Pm 2.79-3.09
Ir (0.3546, 0.3151, 0.6987)  6 Pm 2.83-2.98

Most stable structure, least stable structure: version A, version B.

Version A
# Pm4NiIr

A relaxed Pm4NiIr crystal (PBE-GGA, the Alexandria database).

ρ   8.56 g/cm³

Unit cell a=9.0063 b=13.6380 c=6.5374 alpha=90.00 beta=126.57 gamma=90.00
With the nearest neighbours (Å) after each atom.
Space group C2/c (No. 15)
One atom of each set of equivalent atoms:
Pm (0.1393, 0.1833, 0.1105)  2 Ir 2.87-3.10, 2 Ni 3.09-3.22
Pm (0.2047, 0.4398, 0.2708)  2 Ni 2.78-2.84, 1 Ir 2.93
Ni (0.0000, 0.0049, 0.7500)  6 Pm 2.78-3.09
Ir (0.0000, 0.3632, 0.7500)  8 Pm 2.87-3.22

Version B
# Pm4NiIr

A relaxed Pm4NiIr crystal (PBE-GGA, the Alexandria database).

ρ   8.11 g/cm³

Unit cell a=4.5628 b=5.4735 c=6.8190 alpha=90.92 beta=91.41 gamma=90.02
With the nearest neighbours (Å) after each atom.
Space group P1 (No. 1)
One atom of each set of equivalent atoms:
Pm (0.0000, 0.0000, 0.0000)  2 Ni 2.81-2.94, 1 Ir 2.92
Pm (0.0182, 0.1496, 0.5062)  2 Ni 2.80-2.93, 1 Ir 2.92
Pm (0.4992, 0.4966, 0.9962)  1 Ni 2.85, 2 Ir 2.87
Pm (0.5190, 0.6522, 0.4935)  1 Ni 2.86, 2 Ir 2.87
Ni (0.5095, 0.0698, 0.7508)  6 Pm 2.80-2.94
Ir (0.0090, 0.5684, 0.2463)  6 Pm 2.87-2.92

Most stable structure, least stable structure: version A, version B.

Version A
# Pm2NiIr

A relaxed Pm2NiIr crystal (PBE-GGA, the Alexandria database).

ρ   10.00 g/cm³

Unit cell a=5.7906 b=4.1465 c=7.9753 alpha=90.00 beta=110.21 gamma=90.00
With the nearest neighbours (Å) after each atom.
Space group P2_1/m (No. 11)
One atom of each set of equivalent atoms:
Pm (0.2157, 0.2500, 0.4315)  4 Ir 2.97-3.10, 3 Ni 3.00-3.07
Pm (0.2183, 0.2500, 0.9270)  3 Ir 2.94-3.07, 4 Ni 2.97-3.10
Ni (0.3524, 0.7500, 0.2112)  2 Ir 2.62
Ir (0.3525, 0.7500, 0.7150)  2 Ni 2.62

Version B
# Pm2NiIr

A relaxed Pm2NiIr crystal (PBE-GGA, the Alexandria database).

ρ   10.46 g/cm³

Unit cell a=4.9083 b=4.9083 c=3.5640 alpha=90.00 beta=90.00 gamma=90.00
With the nearest neighbours (Å) after each atom.
Space group P4/mmm (No. 123)
One atom of each set of equivalent atoms:
Pm (0.0000, 0.5000, 0.0000)  4 Ni 3.03, 4 Ir 3.03
Ni (0.0000, 0.0000, 0.5000)  8 Pm 3.03
Ir (0.5000, 0.5000, 0.5000)  8 Pm 3.03

Version C
# Pm2NiIr

A relaxed Pm2NiIr crystal (PBE-GGA, the Alexandria database).

ρ   10.47 g/cm³

Unit cell a=7.0007 b=7.0007 c=7.0007 alpha=90.00 beta=90.00 gamma=90.00
With the nearest neighbours (Å) after each atom.
Space group Fm-3m (No. 225)
One atom of each set of equivalent atoms:
Pm (0.2500, 0.2500, 0.2500)  4 Ni 3.03, 4 Ir 3.03
Ni (0.0000, 0.0000, 0.0000)  8 Pm 3.03
Ir (0.0000, 0.0000, 0.5000)  8 Pm 3.03

Most stable structure, least stable structure: version A, version B.

Version A
# PmThNiIr

A relaxed PmThNiIr crystal (PBE-GGA, the Alexandria database).

ρ   11.88 g/cm³

Unit cell a=7.0552 b=7.0552 c=7.0552 alpha=90.00 beta=90.00 gamma=90.00
With the nearest neighbours (Å) after each atom.
Space group F-43m (No. 216)
One atom of each set of equivalent atoms:
Pm (0.0000, 0.0000, 0.0000)  4 Ir 3.05, 4 Ni 3.05
Th (0.0000, 0.0000, 0.5000)  4 Ni 3.05, 4 Ir 3.05
Ni (0.2500, 0.2500, 0.2500)  4 Th 3.05, 4 Pm 3.05
Ir (0.2500, 0.2500, 0.7500)  4 Th 3.05, 4 Pm 3.05

Version B
# PmThNiIr

A relaxed PmThNiIr crystal (PBE-GGA, the Alexandria database).

ρ   11.60 g/cm³

Unit cell a=4.4899 b=3.8485 c=10.4001 alpha=90.00 beta=90.00 gamma=90.00
With the nearest neighbours (Å) after each atom.
Space group Amm2 (No. 38)
One atom of each set of equivalent atoms:
Pm (0.0000, 0.0000, 0.0000)  3 Ni 2.87-3.02, 4 Ir 3.02
Th (0.5000, 0.0000, 0.7243)  3 Ir 2.95-2.96, 4 Ni 3.01
Ni (0.0000, 0.0000, 0.2762)  2 Ir 2.82, 3 Pm 2.87-3.02, 4 Th 3.01
Ir (0.5000, 0.0000, 0.4408)  2 Ni 2.82, 3 Th 2.95-2.96, 4 Pm 3.02

Most stable structure, least stable structure: version B, version A.

Version A
# PmTmNiIr

A relaxed PmTmNiIr crystal (PBE-GGA, the Alexandria database).

ρ   11.58 g/cm³

Unit cell a=6.8687 b=6.8687 c=6.8687 alpha=90.00 beta=90.00 gamma=90.00
With the nearest neighbours (Å) after each atom.
Space group F-43m (No. 216)
One atom of each set of equivalent atoms:
Pm (0.0000, 0.0000, 0.0000)  4 Ni 2.97, 4 Ir 2.97
Tm (0.0000, 0.0000, 0.5000)  4 Ni 2.97, 4 Ir 2.97
Ni (0.2500, 0.2500, 0.2500)  4 Tm 2.97, 4 Pm 2.97
Ir (0.2500, 0.2500, 0.7500)  4 Pm 2.97, 4 Tm 2.97

Version B
# PmTmNiIr

A relaxed PmTmNiIr crystal (PBE-GGA, the Alexandria database).

ρ   11.02 g/cm³

Unit cell a=4.0885 b=3.8854 c=10.7174 alpha=90.00 beta=90.00 gamma=90.00
With the nearest neighbours (Å) after each atom.
Space group Amm2 (No. 38)
One atom of each set of equivalent atoms:
Pm (0.0000, 0.0000, 0.0000)  4 Ni 2.93, 3 Ir 2.97-3.08
Tm (0.5000, 0.0000, 0.7160)  4 Ir 2.89, 3 Ni 2.98-3.10
Ni (0.5000, 0.0000, 0.4271)  2 Ir 2.60
Ir (0.0000, 0.0000, 0.2767)  2 Ni 2.60, 4 Tm 2.89

Most stable structure, least stable structure: version B, version A.

Version A
# PrYNiIr

A relaxed PrYNiIr crystal (PBE-GGA, the Alexandria database).

ρ   8.97 g/cm³

Unit cell a=4.1148 b=3.9701 c=10.8916 alpha=90.00 beta=90.00 gamma=90.00
With the nearest neighbours (Å) after each atom.
Space group Amm2 (No. 38)
One atom of each set of equivalent atoms:
Pr (0.0000, 0.0000, 0.0000)  4 Ni 2.97, 3 Ir 3.03-3.13
Y (0.5000, 0.0000, 0.7165)  4 Ir 2.94, 3 Ni 3.02-3.17
Ni (0.5000, 0.0000, 0.4259)  2 Ir 2.61
Ir (0.0000, 0.0000, 0.2782)  2 Ni 2.61

Version B
# PrYNiIr

A relaxed PrYNiIr crystal (PBE-GGA, the Alexandria database).

ρ   9.39 g/cm³

Unit cell a=6.9791 b=6.9791 c=6.9791 alpha=90.00 beta=90.00 gamma=90.00
With the nearest neighbours (Å) after each atom.
Space group F-43m (No. 216)
One atom of each set of equivalent atoms:
Pr (0.0000, 0.0000, 0.0000)  4 Ir 3.02, 4 Ni 3.02
Y (0.0000, 0.0000, 0.5000)  4 Ni 3.02, 4 Ir 3.02
Ni (0.2500, 0.2500, 0.2500)  4 Pr 3.02, 4 Y 3.02
Ir (0.2500, 0.2500, 0.7500)  4 Pr 3.02, 4 Y 3.02

Most stable structure, least stable structure: version A, version B.

Version A
# Ni2IrPt6

A relaxed Ni2IrPt6 crystal (PBE-GGA, the Alexandria database).

ρ   18.43 g/cm³

Unit cell a=12.3779 b=4.6864 c=4.6847 alpha=90.00 beta=101.11 gamma=90.00
With the nearest neighbours (Å) after each atom.
Space group C2/m (No. 12)
One atom of each set of equivalent atoms:
Ni (0.1676, 0.0000, 0.3294)  10 Pt 2.65-2.75
Ir (0.0000, 0.5000, 0.0000)  10 Pt 2.70-2.74
Pt (0.0540, 0.0000, 0.7799)  5 Pt 2.66-2.73, 3 Ni 2.68-2.75, 2 Ir 2.70
Pt (0.1143, 0.5000, 0.5552)  3 Ni 2.65-2.70, 5 Pt 2.65-2.78, 2 Ir 2.71-2.74
Pt (0.2243, 0.5000, 0.1219)  5 Pt 2.65-2.74, 4 Ni 2.66-2.71, 1 Ir 2.72

Version B
# Ni2IrPt6

A relaxed Ni2IrPt6 crystal (PBE-GGA, the Alexandria database).

ρ   15.35 g/cm³

Unit cell a=5.3519 b=5.3519 c=19.3684 alpha=90.00 beta=90.00 gamma=120.00
With the nearest neighbours (Å) after each atom.
Space group R3m (No. 160, hexagonal axes)
One atom of each set of equivalent atoms:
Ni (0.0000, 0.0000, 0.0000)  9 Pt 2.68-2.76
Ni (0.0000, 0.0000, 0.2228)  9 Pt 2.68-2.73
Ir (0.0000, 0.0000, 0.7776)  6 Pt 2.56
Pt (0.0025, 0.5013, 0.2156)  1 Ir 2.56, 6 Pt 2.66-2.86, 3 Ni 2.68-2.76
Pt (0.0051, 0.5025, 0.0063)  1 Ir 2.56, 6 Pt 2.64-2.86, 3 Ni 2.68-2.73

Most stable structure, least stable structure: version A, version B.

Version A
# Ni3IrPt3

A relaxed Ni3IrPt3 crystal (PBE-GGA, the Alexandria database).

ρ   15.81 g/cm³

Unit cell a=10.3806 b=3.7571 c=10.2704 alpha=90.00 beta=90.00 gamma=90.00
With the nearest neighbours (Å) after each atom.
Space group Pnma (No. 62)
One atom of each set of equivalent atoms:
Ni (0.0147, 0.2500, 0.1850)  1 Ni 2.49, 2 Ir 2.49, 6 Pt 2.53-2.60
Ni (0.1840, 0.7500, 0.5474)  6 Pt 2.51-2.65, 2 Ir 2.60, 1 Ni 2.61
Ni (0.2243, 0.7500, 0.7981)  2 Ni 2.49-2.61, 5 Pt 2.51-2.76, 2 Ir 2.64
Ir (0.0821, 0.2500, 0.6890)  6 Ni 2.49-2.64, 5 Pt 2.61-2.72
Pt (0.0698, 0.2500, 0.4263)  5 Ni 2.51-2.65, 3 Ir 2.70-2.72
Pt (0.0966, 0.2500, 0.9459)  6 Ni 2.51-2.76, 1 Ir 2.64
Pt (0.1710, 0.7500, 0.1392)  6 Ni 2.53-2.72, 1 Ir 2.61

Version B
# Ni3IrPt3

A relaxed Ni3IrPt3 crystal (PBE-GGA, the Alexandria database).

ρ   16.59 g/cm³

Unit cell a=7.0901 b=7.0901 c=13.1510 alpha=90.00 beta=90.00 gamma=120.00
With the nearest neighbours (Å) after each atom.
Space group R-3 (No. 148, hexagonal axes)
One atom of each set of equivalent atoms:
Ni (0.0491, 0.2328, 0.4163)  2 Ir 2.57-2.71, 5 Pt 2.58-2.79, 5 Ni 2.61-2.68
Ir (0.0000, 0.0000, 0.2579)  6 Ni 2.57-2.71, 6 Pt 2.67-2.78
Pt (0.0394, 0.2433, 0.9147)  5 Ni 2.58-2.79, 2 Ir 2.67-2.78, 5 Pt 2.68-2.78

Most stable structure, least stable structure: version B, version A.

Version A
# Ni4IrPt2

A relaxed Ni4IrPt2 crystal (PBE-GGA, the Alexandria database).

ρ   14.46 g/cm³

Unit cell a=4.7720 b=8.5875 c=9.1606 alpha=90.00 beta=90.00 gamma=90.00
With the nearest neighbours (Å) after each atom.
Space group Fmmm (No. 69)
One atom of each set of equivalent atoms:
Ni (0.2500, 0.2500, 0.0000)  4 Ni 2.29-2.39, 2 Ir 2.46
Ni (0.2500, 0.2500, 0.2500)  4 Ni 2.29-2.39
Ir (0.0000, 0.0000, 0.0000)  4 Ni 2.46
Pt (0.0000, 0.0000, 0.3478)  8 Ni 2.61-2.82, 2 Ir 2.76, 1 Pt 2.79

Version B
# Ni4IrPt2

A relaxed Ni4IrPt2 crystal (PBE-GGA, the Alexandria database).

ρ   14.04 g/cm³

Unit cell a=7.3209 b=7.3209 c=7.2128 alpha=90.00 beta=90.00 gamma=90.00
With the nearest neighbours (Å) after each atom.
Space group I-42d (No. 122)
One atom of each set of equivalent atoms:
Ni (0.0808, 0.1737, 0.2810)  2 Ir 2.46-2.47, 1 Ni 2.51, 4 Pt 2.54-2.56
Ir (0.0000, 0.0000, 0.0000)  8 Ni 2.46-2.47
Pt (0.1153, 0.2500, 0.6250)  8 Ni 2.54-2.56

Most stable structure, least stable structure: version B, version A.